Record 1
DFT (GGA-PBE) results for a relaxed K2Ag2PbBr6 crystal.

Lattice parameters (Å, degrees): 8.186 8.167 7.944 114.62 90.00 120.08
Element x y z (fractional)
K1 0.263 0.526 0.824
K2 0.737 0.474 0.176
Br1 0.177 0.855 0.176
Br2 0.678 0.855 0.176
Br3 0.732 0.465 0.581
Br4 0.823 0.145 0.824
Br5 0.268 0.535 0.419
Br6 0.322 0.145 0.824
Pb1 0.500 0.000 0.500
Ag1 0.942 0.883 0.788
Ag2 0.058 0.117 0.212

* uncorrected formation energy: -0.984 eV/atom
* calculated density: 4.042 g cm⁻³
* total DFT energy (no corrections): -32.5 eV for the cell shown
* Fermi-level density of states: 0.00 states/eV/cell



Record 2
DFT (GGA-PBE) results for a relaxed KAg2PdBr8 crystal.

Lattice parameters (Å, degrees): 6.479 6.158 9.873 73.65 87.54 88.08
Site moments in Bohr magnetons follow the coordinates.
Element x y z (fractional)
Ag1 0.516 0.557 0.799  0.01
Ag2 0.484 0.443 0.201  0.01
Br1 0.805 0.148 0.185  0.00
Br2 0.858 0.295 0.787  0.00
Br3 0.142 0.705 0.213  0.00
Br4 0.508 0.739 0.520  0.10
Br5 0.692 0.757 0.992  0.00
Br6 0.492 0.261 0.480  0.10
Br7 0.308 0.243 0.008  0.00
Br8 0.195 0.852 0.815  0.00
Pd1 0.000 0.000 0.000  0.00
K1 0.000 0.000 0.500  0.00

* uncorrected formation energy: -0.448 eV/atom
* calculated density: 4.400 g cm⁻³
* total DFT energy (no corrections): -30.8 eV for the cell shown
* Fermi-level density of states: 4.56 states/eV/cell



Record 3
DFT (GGA-PBE) results for a relaxed KAg2PdBr6 crystal.

Lattice parameters (Å, degrees): 7.229 7.072 7.668 61.85 67.60 65.32
Site moments in Bohr magnetons follow the coordinates.
Element x y z (fractional)
Ag1 0.005 0.974 0.970  0.01
Ag2 0.547 0.537 0.420  0.03
Br1 0.132 0.343 0.800  0.02
Br2 0.691 0.170 0.765  0.16
Br3 0.363 0.708 0.768  0.04
Br4 0.275 0.943 0.244  0.03
Br5 0.955 0.566 0.231  0.11
Br6 0.544 0.284 0.235  0.02
K1 0.821 0.811 0.562  0.00
Pd1 0.328 0.325 0.019  0.45

* uncorrected formation energy: -0.539 eV/atom
* calculated density: 4.567 g cm⁻³
* total DFT energy (no corrections): -27.4 eV for the cell shown
* Fermi-level density of states: 2.02 states/eV/cell



Record 4
DFT (GGA-PBE) results for a relaxed K3AgPd2Br9 crystal.

Lattice parameters (Å, degrees): 7.499 7.499 9.206 90.00 90.00 120.00
Element x y z (fractional)
Pd1 0.333 0.667 0.162
Pd2 0.667 0.333 0.838
Br1 0.000 0.500 0.000
Br2 0.659 0.830 0.325
Br3 0.170 0.341 0.325
Br4 0.830 0.659 0.675
Br5 0.170 0.830 0.325
Br6 0.830 0.170 0.675
Br7 0.500 0.500 0.000
Br8 0.341 0.170 0.675
Br9 0.500 0.000 0.000
K1 0.667 0.333 0.334
K2 0.000 0.000 0.000
K3 0.333 0.667 0.666
Ag1 0.000 0.000 0.500

* uncorrected formation energy: -0.864 eV/atom
* calculated density: 4.286 g cm⁻³
* total DFT energy (no corrections): -44.5 eV for the cell shown
* Fermi-level density of states: 4.85 states/eV/cell



Record 5
DFT (GGA-PBE) results for a relaxed KAgPdBr6 crystal.

Lattice parameters (Å, degrees): 7.137 7.137 7.033 90.04 89.95 59.92
Element x y z (fractional)
Pd1 0.333 0.333 0.500
Br1 0.035 0.609 0.708
Br2 0.609 0.355 0.708
Br3 0.609 0.035 0.292
Br4 0.036 0.355 0.292
Br5 0.355 0.036 0.708
Br6 0.355 0.609 0.292
Ag1 0.667 0.667 0.500
K1 0.000 0.000 0.000

* uncorrected formation energy: -0.556 eV/atom
* calculated density: 3.926 g cm⁻³
* total DFT energy (no corrections): -24.2 eV for the cell shown
* Fermi-level density of states: 1.34 states/eV/cell



Record 6
DFT (GGA-PBE) results for a relaxed KPmAgBr5 crystal.

Lattice parameters (Å, degrees): 8.024 8.024 10.794 102.47 102.47 109.18
Element x y z (fractional)
Br1 0.085 0.915 0.250
Br2 0.926 0.319 0.107
Br3 0.915 0.085 0.750
Br4 0.257 0.375 0.555
Br5 0.074 0.681 0.893
Br6 0.375 0.257 0.055
Br7 0.319 0.926 0.607
Br8 0.681 0.074 0.393
Br9 0.743 0.625 0.445
Br10 0.625 0.743 0.945
K1 0.356 0.644 0.250
K2 0.644 0.356 0.750
Pm1 0.000 0.000 0.500
Pm2 0.000 0.000 0.000
Ag1 0.312 0.688 0.750
Ag2 0.688 0.312 0.250

* uncorrected formation energy: -1.456 eV/atom
* calculated density: 3.770 g cm⁻³
* total DFT energy (no corrections): -57.4 eV for the cell shown
* Fermi-level density of states: 0.00 states/eV/cell



Record 7
DFT (GGA-PBE) results for a relaxed KPm2AgBr8 crystal.

Lattice parameters (Å, degrees): 7.270 7.022 8.833 90.00 89.99 84.05
Element x y z (fractional)
Pm1 0.500 0.500 0.243
Pm2 0.500 0.500 0.757
Br1 0.636 0.714 0.500
Br2 0.356 0.276 0.000
Br3 0.834 0.250 0.777
Br4 0.364 0.286 0.500
Br5 0.167 0.750 0.777
Br6 0.644 0.724 0.000
Br7 0.833 0.250 0.223
Br8 0.166 0.750 0.223
Ag1 0.000 0.000 0.000
K1 0.000 0.000 0.500

* uncorrected formation energy: -1.568 eV/atom
* calculated density: 3.985 g cm⁻³
* total DFT energy (no corrections): -45.6 eV for the cell shown
* Fermi-level density of states: 0.00 states/eV/cell



Record 8
DFT (GGA-PBE) results for a relaxed K2PmAgBr6 crystal.

Lattice parameters (Å, degrees): 7.707 8.142 10.932 90.00 89.23 90.00
Element x y z (fractional)
K1 0.473 0.420 0.247
K2 0.973 0.080 0.747
K3 0.527 0.580 0.753
K4 0.027 0.920 0.253
Br1 0.803 0.807 0.554
Br2 0.892 0.528 0.253
Br3 0.189 0.202 0.053
Br4 0.689 0.298 0.553
Br5 0.197 0.193 0.446
Br6 0.311 0.702 0.447
Br7 0.303 0.693 0.054
Br8 0.392 0.972 0.753
Br9 0.108 0.472 0.747
Br10 0.697 0.307 0.946
Br11 0.811 0.798 0.947
Br12 0.608 0.028 0.247
Pm1 0.500 0.000 0.500
Pm2 0.000 0.500 0.000
Ag1 0.000 0.500 0.500
Ag2 0.500 0.000 0.000

* uncorrected formation energy: -1.527 eV/atom
* calculated density: 3.924 g cm⁻³
* total DFT energy (no corrections): -70.2 eV for the cell shown
* Fermi-level density of states: 0.00 states/eV/cell



Record 9
DFT (GGA-PBE) results for a relaxed KPrAg2Br6 crystal.

Lattice parameters (Å, degrees): 7.526 7.523 8.106 62.32 62.28 59.91
Element x y z (fractional)
Br1 0.740 0.156 0.749
Br2 0.354 0.739 0.750
Br3 0.156 0.355 0.750
Br4 0.911 0.599 0.237
Br5 0.254 0.911 0.237
Br6 0.599 0.253 0.236
Ag1 0.003 0.004 0.990
Ag2 0.514 0.514 0.458
K1 0.807 0.808 0.577
Pr1 0.323 0.323 0.031

* uncorrected formation energy: -1.216 eV/atom
* calculated density: 4.337 g cm⁻³
* total DFT energy (no corrections): -33.8 eV for the cell shown
* Fermi-level density of states: 0.00 states/eV/cell



Record 10
DFT (GGA-PBE) results for a relaxed KPrAgBr5 crystal.

Lattice parameters (Å, degrees): 8.072 8.072 10.868 102.49 102.49 109.15
Element x y z (fractional)
Br1 0.090 0.910 0.250
Br2 0.323 0.929 0.613
Br3 0.259 0.378 0.555
Br4 0.378 0.259 0.055
Br5 0.929 0.323 0.113
Br6 0.677 0.071 0.387
Br7 0.622 0.741 0.945
Br8 0.741 0.622 0.445
Br9 0.910 0.090 0.750
Br10 0.071 0.677 0.887
Pr1 0.000 0.000 0.500
Pr2 0.000 0.000 0.000
K1 0.358 0.642 0.250
K2 0.642 0.358 0.750
Ag1 0.313 0.687 0.750
Ag2 0.687 0.313 0.250

* uncorrected formation energy: -1.454 eV/atom
* calculated density: 3.678 g cm⁻³
* total DFT energy (no corrections): -57.4 eV for the cell shown
* Fermi-level density of states: 0.00 states/eV/cell



Record 11
DFT (GGA-PBE) results for a relaxed KPrAg2Br8 crystal.

Lattice parameters (Å, degrees): 7.242 7.242 9.180 113.23 113.23 90.00
Element x y z (fractional)
K1 0.000 0.000 0.000
Br1 0.444 0.294 0.172
Br2 0.706 0.273 0.828
Br3 0.123 0.556 0.828
Br4 0.727 0.877 0.172
Br5 0.026 0.985 0.628
Br6 0.015 0.398 0.372
Br7 0.602 0.643 0.628
Br8 0.357 0.974 0.372
Pr1 0.750 0.250 0.500
Ag1 0.500 0.500 0.000
Ag2 0.250 0.750 0.500

* uncorrected formation energy: -0.945 eV/atom
* calculated density: 4.301 g cm⁻³
* total DFT energy (no corrections): -36.3 eV for the cell shown
* Fermi-level density of states: 14.82 states/eV/cell



Record 12
DFT (GGA-PBE) results for a relaxed K2PuAg2Br6 crystal.

Lattice parameters (Å, degrees): 8.272 8.016 8.206 114.57 90.00 121.06
Site moments in Bohr magnetons follow the coordinates.
Element x y z (fractional)
Br1 0.188 0.858 0.196  0.00
Br2 0.331 0.142 0.804  0.00
Br3 0.669 0.858 0.196  0.00
Br4 0.729 0.458 0.560  -0.01
Br5 0.271 0.542 0.440  -0.01
Br6 0.812 0.142 0.804  0.00
Ag1 0.054 0.108 0.196  0.06
Ag2 0.946 0.892 0.804  0.06
Pu1 0.500 0.000 0.500  5.50
K1 0.269 0.538 0.835  0.00
K2 0.731 0.462 0.165  0.00

* uncorrected formation energy: -1.123 eV/atom
* calculated density: 4.145 g cm⁻³
* total DFT energy (no corrections): -44.6 eV for the cell shown
* Fermi-level density of states: 14.32 states/eV/cell



Record 13
DFT (GGA-PBE) results for a relaxed KPu2AgBr8 crystal.

Lattice parameters (Å, degrees): 7.185 6.974 8.848 90.00 90.00 84.20
Site moments in Bohr magnetons follow the coordinates.
Element x y z (fractional)
Ag1 0.000 0.000 0.000  -0.02
Br1 0.162 0.748 0.223  -0.04
Br2 0.162 0.748 0.777  -0.04
Br3 0.369 0.282 0.500  -0.04
Br4 0.838 0.252 0.777  -0.04
Br5 0.360 0.276 0.000  -0.06
Br6 0.838 0.252 0.223  -0.04
Br7 0.631 0.718 0.500  -0.04
Br8 0.640 0.724 0.000  -0.06
Pu1 0.500 0.500 0.243  5.11
Pu2 0.500 0.500 0.757  5.11
K1 0.000 0.000 0.500  0.00

* uncorrected formation energy: -1.335 eV/atom
* calculated density: 4.797 g cm⁻³
* total DFT energy (no corrections): -62.0 eV for the cell shown
* Fermi-level density of states: 23.11 states/eV/cell



Record 14
DFT (GGA-PBE) results for a relaxed KPuAgBr5 crystal.

Lattice parameters (Å, degrees): 7.981 7.981 10.793 103.30 103.30 107.72
Site moments in Bohr magnetons follow the coordinates.
Element x y z (fractional)
Br1 0.916 0.084 0.750  -0.04
Br2 0.257 0.371 0.556  -0.03
Br3 0.084 0.916 0.250  -0.04
Br4 0.371 0.257 0.056  -0.03
Br5 0.323 0.921 0.604  -0.03
Br6 0.677 0.079 0.396  -0.03
Br7 0.629 0.743 0.944  -0.03
Br8 0.079 0.677 0.896  -0.03
Br9 0.921 0.323 0.104  -0.03
Br10 0.743 0.629 0.444  -0.03
Ag1 0.310 0.690 0.750  -0.01
Ag2 0.690 0.310 0.250  -0.01
Pu1 0.000 0.000 0.500  5.09
Pu2 0.000 0.000 0.000  5.09
K1 0.648 0.352 0.750  0.00
K2 0.352 0.648 0.250  0.00

* uncorrected formation energy: -1.278 eV/atom
* calculated density: 4.353 g cm⁻³
* total DFT energy (no corrections): -73.7 eV for the cell shown
* Fermi-level density of states: 20.79 states/eV/cell



Record 15
DFT (GGA-PBE) results for a relaxed K3Rb2AgBr6 crystal.

Lattice parameters (Å, degrees): 8.233 8.233 8.150 98.96 98.96 120.07
Element x y z (fractional)
K1 0.166 0.834 0.500
K2 0.834 0.166 0.500
K3 0.500 0.500 0.500
Rb1 0.327 0.673 0.000
Rb2 0.673 0.327 0.000
Br1 0.198 0.198 0.794
Br2 0.905 0.581 0.733
Br3 0.802 0.802 0.206
Br4 0.419 0.095 0.267
Br5 0.095 0.419 0.267
Br6 0.581 0.905 0.733
Ag1 0.000 0.000 0.000

* uncorrected formation energy: -1.482 eV/atom
* calculated density: 3.201 g cm⁻³
* total DFT energy (no corrections): -35.9 eV for the cell shown
* Fermi-level density of states: 0.00 states/eV/cell



Record 16
DFT (GGA-PBE) results for a relaxed KRbAg2Br5 crystal.

Lattice parameters (Å, degrees): 5.317 5.317 10.804 90.00 90.00 90.00
Element x y z (fractional)
Br1 0.000 0.500 0.800
Br2 0.500 0.000 0.800
Br3 0.500 0.500 0.500
Br4 0.500 0.000 0.200
Br5 0.000 0.500 0.200
Rb1 0.000 0.000 0.500
Ag1 0.500 0.500 0.238
Ag2 0.500 0.500 0.762
K1 0.000 0.000 0.000

* uncorrected formation energy: -0.947 eV/atom
* calculated density: 4.022 g cm⁻³
* total DFT energy (no corrections): -24.7 eV for the cell shown
* Fermi-level density of states: 2.45 states/eV/cell



Record 17
DFT (GGA-PBE) results for a relaxed KRb3Ag2Br6 crystal.

Lattice parameters (Å, degrees): 8.670 8.670 8.959 90.00 90.00 120.00
Element x y z (fractional)
Rb1 0.333 0.667 0.616
Rb2 0.000 0.000 0.000
Rb3 0.667 0.333 0.384
Br1 0.673 0.836 0.275
Br2 0.327 0.164 0.725
Br3 0.164 0.327 0.275
Br4 0.836 0.673 0.725
Br5 0.836 0.164 0.725
Br6 0.164 0.836 0.275
Ag1 0.333 0.667 0.222
Ag2 0.667 0.333 0.778
K1 0.000 0.000 0.500

* uncorrected formation energy: -1.167 eV/atom
* calculated density: 2.821 g cm⁻³
* total DFT energy (no corrections): -33.7 eV for the cell shown
* Fermi-level density of states: 0.00 states/eV/cell



Record 18
DFT (GGA-PBE) results for a relaxed KRbAg2Br8 crystal.

Lattice parameters (Å, degrees): 7.845 7.845 8.942 116.02 116.02 90.00
Element x y z (fractional)
Br1 0.805 0.426 0.979
Br2 0.574 0.826 0.021
Br3 0.448 0.195 0.021
Br4 0.584 0.713 0.532
Br5 0.287 0.052 0.468
Br6 0.181 0.416 0.468
Br7 0.948 0.819 0.532
Br8 0.174 0.552 0.979
K1 0.000 0.000 0.000
Ag1 0.250 0.750 0.500
Ag2 0.500 0.500 0.000
Rb1 0.750 0.250 0.500

* uncorrected formation energy: -0.646 eV/atom
* calculated density: 3.769 g cm⁻³
* total DFT energy (no corrections): -28.9 eV for the cell shown
* Fermi-level density of states: 9.83 states/eV/cell



Record 19
DFT (GGA-PBE) results for a relaxed K2RbAgBr crystal.

Lattice parameters (Å, degrees): 6.276 6.276 6.610 90.00 90.00 90.00
Element x y z (fractional)
K1 0.000 0.500 0.000
K2 0.500 0.000 0.000
Ag1 0.500 0.500 0.500
Rb1 0.000 0.000 0.500
Br1 0.000 0.000 0.000

* uncorrected formation energy: -0.514 eV/atom
* calculated density: 2.241 g cm⁻³
* total DFT energy (no corrections): -10.3 eV for the cell shown
* Fermi-level density of states: 3.12 states/eV/cell



Record 20
DFT (GGA-PBE) results for a relaxed KRb2Ag2Br4 crystal.

Lattice parameters (Å, degrees): 4.215 8.911 9.262 115.62 103.15 90.00
Element x y z (fractional)
Br1 0.466 0.249 0.932
Br2 0.802 0.754 0.604
Br3 0.534 0.751 0.068
Br4 0.198 0.246 0.396
K1 0.000 0.000 0.000
Ag1 0.297 0.975 0.594
Ag2 0.703 0.025 0.406
Rb1 0.126 0.557 0.253
Rb2 0.874 0.443 0.747

* uncorrected formation energy: -1.078 eV/atom
* calculated density: 4.078 g cm⁻³
* total DFT energy (no corrections): -25.1 eV for the cell shown
* Fermi-level density of states: 1.55 states/eV/cell